First-principles (GGA-PBE) data for La2P7Ru12 after structural relaxation, as listed in Alexandria.

## Properties
- space group = No. 174
- Fermi-level density of states (states/eV/cell) = 11.704
- formation enthalpy at 0 K (eV per atom) = -0.735
- crystal system = hexagonal

Cell lengths 3.979, 9.515, 9.515 Å; angles 120.00, 90.00, 90.00 degrees
Sites, in units of the cell vectors:
Ru 0.500 0.383 0.277
Ru 0.000 0.268 0.024
Ru 0.500 0.540 0.754
P 0.500 0.441 0.060
Ru 0.000 0.976 0.244
Ru 0.500 0.894 0.617
P 0.000 0.022 0.775
Ru 0.000 0.443 0.507
Ru 0.500 0.246 0.786
Ru 0.000 0.756 0.732
P 0.000 0.225 0.247
P 0.500 0.619 0.559
Ru 0.500 0.723 0.106
P 0.000 0.753 0.978
Ru 0.500 0.214 0.460
La 0.500 0.000 0.000
P 0.500 0.940 0.381
Ru 0.000 0.064 0.557
P 0.000 0.333 0.667
Ru 0.000 0.493 0.936
La 0.000 0.667 0.333